# 1
The following is a DFT calculation (PBE) of crystalline IrRhPb2 at its relaxed geometry.

Cell lengths 3.289, 4.278, 5.732 Å; angles 90.00, 90.00, 90.00 degrees
Element x y z (fractional)
Ir  0.000  0.000  0.000
Rh  0.500  0.500  0.666
Pb  0.000  0.000  0.517
Pb  0.500  0.500  0.153

## Properties
* ρ: 14.608 g/cm3
* magnetic moment: 0.00 μB per cell
* polymorph energy (0 for the lowest one): 0.49 eV/f.u.
* calculated formation energy: 318.6 meV/atom

***

# 2
The following is a DFT calculation (PBE) of crystalline IrAuF at its relaxed geometry.

Cell lengths 2.760, 2.762, 7.045 Å; angles 86.33, 88.49, 60.08 degrees
Element x y z (fractional)
Ir  0.000  0.000  0.000
Au  0.334  0.394  0.650
F  0.005  0.955  0.275

## Properties
* ρ: 14.589 g/cm3
* raw formation energy: -160 meV per atom
* magnetic moment: 0.49 μB per cell
* polymorph energy (0 for the lowest one): 0.31 eV/f.u.

***

# 3
The following is a DFT calculation (PBE) of crystalline Mg3Ta5 at its relaxed geometry.

Cell lengths 5.819, 7.635, 7.668 Å; angles 80.94, 70.88, 71.14 degrees
Element x y z (fractional)
Mg  0.005  0.397  0.354
Mg  0.250  0.027  0.472
Mg  0.493  0.146  0.103
Mg  0.507  0.854  0.897
Mg  0.750  0.973  0.528
Mg  0.995  0.603  0.646
Ta  0.010  0.899  0.861
Ta  0.228  0.236  0.784
Ta  0.251  0.526  0.974
Ta  0.270  0.717  0.263
Ta  0.493  0.638  0.601
Ta  0.507  0.362  0.399
Ta  0.730  0.283  0.737
Ta  0.749  0.474  0.026
Ta  0.772  0.764  0.216
Ta  0.990  0.101  0.139

## Properties
* ρ: 10.677 g/cm3
* magnetic moment: 0.00 μB per cell
* polymorph energy (0 for the lowest one): 0.32 eV/f.u.
* calculated formation energy: 305.1 meV/atom

***

# 4
The following is a DFT calculation (PBE) of crystalline PbBrN2 at its relaxed geometry.

Cell lengths 6.135, 6.135, 6.135 Å; angles 122.93, 122.93, 84.99 degrees
Element x y z (fractional)
Pb  0.000  0.000  0.000
Pb  0.750  0.250  0.500
Br  0.250  0.750  0.500
Br  0.500  0.500  0.000
N  0.099  0.625  0.974
N  0.375  0.349  0.474
N  0.651  0.125  0.026
N  0.875  0.901  0.526

## Properties
* ρ: 6.733 g/cm3
* raw formation energy: 1605 meV per atom
* magnetic moment: 0.00 μB per cell
* polymorph energy (0 for the lowest one): 6.80 eV/f.u.

***

# 5
The following is a DFT calculation (PBE) of crystalline MgCd2InHg5 at its relaxed geometry.

Cell lengths 8.870, 8.870, 13.209 Å; angles 90.00, 90.00, 154.19 degrees
Element x y z (fractional)
Mg  0.048  0.952  0.500
Mg  0.952  0.048  0.000
Cd  0.386  0.614  0.829
Cd  0.387  0.613  0.458
Cd  0.613  0.387  0.958
Cd  0.614  0.386  0.329
In  0.329  0.671  0.138
In  0.671  0.329  0.638
Hg  0.032  0.968  0.812
Hg  0.153  0.847  0.142
Hg  0.211  0.789  0.806
Hg  0.214  0.786  0.463
Hg  0.494  0.506  0.641
Hg  0.506  0.494  0.141
Hg  0.786  0.214  0.963
Hg  0.789  0.211  0.306
Hg  0.847  0.153  0.642
Hg  0.968  0.032  0.312

## Properties
* ρ: 10.032 g/cm3
* magnetic moment: 0.00 μB per cell
* calculated formation energy: -12.0 meV/atom

***

# 6
The following is a DFT calculation (PBE) of crystalline TcNi2Pt at its relaxed geometry.

Cell lengths 2.654, 3.673, 5.343 Å; angles 90.00, 90.00, 90.00 degrees
Element x y z (fractional)
Tc  0.000  0.000  0.000
Ni  0.500  0.500  0.237
Ni  0.500  0.500  0.763
Pt  0.000  0.000  0.500

## Properties
* ρ: 13.084 g/cm3
* magnetic moment: 0.00 μB per cell
* polymorph energy (0 for the lowest one): 0.12 eV/f.u.
* calculated formation energy: -50.6 meV/atom